(1)
DFT (GGA-PBEsol) results for an optimized crystal structure of AlIn2Au.

Summary:
calculated total energy: -3.4577 eV/atom
SG: I4/mmm, No. 139

The structure in CIF format:
```
data_AlIn2Au
_chemical_formula_sum 'Al1 In2 Au1'
_space_group_name_H-M_alt 'P 1'
_space_group_IT_number 1
_space_group_name_Hall 'P 1'
_cell_length_a 4.459
_cell_length_b 4.459
_cell_length_c 5.178
_cell_angle_alpha 115.51
_cell_angle_beta 115.51
_cell_angle_gamma 90.00
loop_
_atom_site_label
_atom_site_fract_x
_atom_site_fract_y
_atom_site_fract_z
Au1 0.000 0.000 0.000
Al1 0.500 0.500 0.000
In1 0.750 0.250 0.500
In2 0.250 0.750 0.500
```

---

(2)
DFT (GGA-PBEsol) results for an optimized crystal structure of AlIr2Au.

Summary:
calculated total energy: -6.8330 eV/atom
SG: F-43m, No. 216

The structure in CIF format:
```
data_AlIr2Au
_chemical_formula_sum 'Al1 Ir2 Au1'
_space_group_name_H-M_alt 'P 1'
_space_group_IT_number 1
_space_group_name_Hall 'P 1'
_cell_length_a 4.391
_cell_length_b 4.391
_cell_length_c 4.391
_cell_angle_alpha 60.00
_cell_angle_beta 60.00
_cell_angle_gamma 60.00
loop_
_atom_site_label
_atom_site_fract_x
_atom_site_fract_y
_atom_site_fract_z
Ir1 0.000 0.000 0.000
Ir2 0.750 0.750 0.750
Au1 0.250 0.250 0.250
Al1 0.500 0.500 0.500
```

---

(3)
DFT (GGA-PBEsol) results for an optimized crystal structure of AlIrAu2.

Summary:
calculated total energy: -5.3077 eV/atom
SG: Cmmm, No. 65

The structure in CIF format:
```
data_AlIrAu2
_chemical_formula_sum 'Al1 Ir1 Au2'
_space_group_name_H-M_alt 'P 1'
_space_group_IT_number 1
_space_group_name_Hall 'P 1'
_cell_length_a 2.803
_cell_length_b 2.827
_cell_length_c 9.181
_cell_angle_alpha 90.00
_cell_angle_beta 90.00
_cell_angle_gamma 119.72
loop_
_atom_site_label
_atom_site_fract_x
_atom_site_fract_y
_atom_site_fract_z
Ir1 0.500 0.000 0.500
Au1 0.000 0.000 0.761
Au2 0.000 0.000 0.239
Al1 0.500 0.000 0.000
```

---

(4)
DFT (GGA-PBEsol) results for an optimized crystal structure of AlIrAu2.

Summary:
calculated total energy: -5.6867 eV/atom
SG: P4/mmm, No. 123

The structure in CIF format:
```
data_AlIrAu2
_chemical_formula_sum 'Al1 Ir1 Au2'
_space_group_name_H-M_alt 'P 1'
_space_group_IT_number 1
_space_group_name_Hall 'P 1'
_cell_length_a 3.884
_cell_length_b 3.884
_cell_length_c 4.053
_cell_angle_alpha 90.00
_cell_angle_beta 90.00
_cell_angle_gamma 90.00
loop_
_atom_site_label
_atom_site_fract_x
_atom_site_fract_y
_atom_site_fract_z
Ir1 0.500 0.500 0.500
Au1 0.000 0.500 0.000
Au2 0.500 0.000 0.000
Al1 0.000 0.000 0.500
```

---

(5)
DFT (GGA-PBEsol) results for an optimized crystal structure of Al2Ir2Au.

Summary:
calculated total energy: -6.8760 eV/atom
SG: P4/mbm, No. 127

The structure in CIF format:
```
data_Al2Ir2Au
_chemical_formula_sum 'Al4 Ir4 Au2'
_space_group_name_H-M_alt 'P 1'
_space_group_IT_number 1
_space_group_name_Hall 'P 1'
_cell_length_a 2.870
_cell_length_b 7.202
_cell_length_c 7.202
_cell_angle_alpha 90.00
_cell_angle_beta 90.00
_cell_angle_gamma 90.00
loop_
_atom_site_label
_atom_site_fract_x
_atom_site_fract_y
_atom_site_fract_z
Ir1 0.000 0.358 0.858
Ir2 0.000 0.858 0.642
Ir3 0.000 0.642 0.142
Ir4 0.000 0.142 0.358
Au1 0.000 0.000 0.000
Au2 0.000 0.500 0.500
Al1 0.500 0.155 0.655
Al2 0.500 0.655 0.845
Al3 0.500 0.845 0.345
Al4 0.500 0.345 0.155
```

---

(6)
DFT (GGA-PBEsol) results for an optimized crystal structure of AlIr2Au.

Summary:
calculated total energy: -7.1153 eV/atom
SG: P4/mmm, No. 123

The structure in CIF format:
```
data_AlIr2Au
_chemical_formula_sum 'Al1 Ir2 Au1'
_space_group_name_H-M_alt 'P 1'
_space_group_IT_number 1
_space_group_name_Hall 'P 1'
_cell_length_a 3.716
_cell_length_b 3.948
_cell_length_c 3.948
_cell_angle_alpha 90.00
_cell_angle_beta 90.00
_cell_angle_gamma 90.00
loop_
_atom_site_label
_atom_site_fract_x
_atom_site_fract_y
_atom_site_fract_z
Ir1 0.000 0.000 0.500
Ir2 0.000 0.500 0.000
Au1 0.500 0.000 0.000
Al1 0.500 0.500 0.500
```

---

(7)
DFT (GGA-PBEsol) results for an optimized crystal structure of AlIr2Au.

Summary:
calculated total energy: -6.9773 eV/atom
SG: C2/m, No. 12

The structure in CIF format:
```
data_AlIr2Au
_chemical_formula_sum 'Al1 Ir2 Au1'
_space_group_name_H-M_alt 'P 1'
_space_group_IT_number 1
_space_group_name_Hall 'P 1'
_cell_length_a 2.769
_cell_length_b 4.680
_cell_length_c 5.329
_cell_angle_alpha 115.77
_cell_angle_beta 104.62
_cell_angle_gamma 90.96
loop_
_atom_site_label
_atom_site_fract_x
_atom_site_fract_y
_atom_site_fract_z
Ir1 0.000 0.000 0.500
Ir2 0.500 0.500 0.500
Au1 0.000 0.500 0.000
Al1 0.500 0.000 0.000
```

---

(8)
DFT (GGA-PBEsol) results for an optimized crystal structure of Al2IrRhAu.

Summary:
calculated total energy: -4.8235 eV/atom
SG: P4/mmm, No. 123

The structure in CIF format:
```
data_Al2IrRhAu
_chemical_formula_sum 'Al2 Ir1 Rh1 Au1'
_space_group_name_H-M_alt 'P 1'
_space_group_IT_number 1
_space_group_name_Hall 'P 1'
_cell_length_a 4.532
_cell_length_b 4.532
_cell_length_c 4.903
_cell_angle_alpha 90.00
_cell_angle_beta 90.00
_cell_angle_gamma 90.00
loop_
_atom_site_label
_atom_site_fract_x
_atom_site_fract_y
_atom_site_fract_z
Rh1 0.500 0.500 0.500
Ir1 0.000 0.000 0.500
Au1 0.000 0.000 0.000
Al1 0.000 0.500 0.000
Al2 0.500 0.000 0.000
```

---

(9)
DFT (GGA-PBEsol) results for an optimized crystal structure of KAl2Au.

Summary:
calculated total energy: -3.3310 eV/atom
SG: Pmmm, No. 47

The structure in CIF format:
```
data_KAl2Au
_chemical_formula_sum 'K1 Al2 Au1'
_space_group_name_H-M_alt 'P 1'
_space_group_IT_number 1
_space_group_name_Hall 'P 1'
_cell_length_a 3.267
_cell_length_b 3.256
_cell_length_c 8.393
_cell_angle_alpha 90.00
_cell_angle_beta 90.00
_cell_angle_gamma 90.00
loop_
_atom_site_label
_atom_site_fract_x
_atom_site_fract_y
_atom_site_fract_z
K1 0.500 0.500 0.500
Au1 0.500 0.500 0.000
Al1 0.000 0.000 0.823
Al2 0.000 0.000 0.177
```

---

(10)
DFT (GGA-PBEsol) results for an optimized crystal structure of K2AlAu.

Summary:
calculated total energy: -2.7091 eV/atom
SG: Cm, No. 8

The structure in CIF format:
```
data_K2AlAu
_chemical_formula_sum 'K2 Al1 Au1'
_space_group_name_H-M_alt 'P 1'
_space_group_IT_number 1
_space_group_name_Hall 'P 1'
_cell_length_a 4.371
_cell_length_b 4.371
_cell_length_c 9.424
_cell_angle_alpha 77.34
_cell_angle_beta 77.34
_cell_angle_gamma 59.96
loop_
_atom_site_label
_atom_site_fract_x
_atom_site_fract_y
_atom_site_fract_z
K1 0.040 0.040 0.895
K2 0.210 0.210 0.355
Au1 0.792 0.792 0.625
Al1 0.458 0.458 0.625
```

---

(11)
DFT (GGA-PBEsol) results for an optimized crystal structure of KAl2Au2.

Summary:
calculated total energy: -3.7449 eV/atom
SG: I4/mmm, No. 139

The structure in CIF format:
```
data_KAl2Au2
_chemical_formula_sum 'K1 Al2 Au2'
_space_group_name_H-M_alt 'P 1'
_space_group_IT_number 1
_space_group_name_Hall 'P 1'
_cell_length_a 4.400
_cell_length_b 4.400
_cell_length_c 6.353
_cell_angle_alpha 110.26
_cell_angle_beta 110.26
_cell_angle_gamma 90.00
loop_
_atom_site_label
_atom_site_fract_x
_atom_site_fract_y
_atom_site_fract_z
K1 0.000 0.000 0.000
Au1 0.372 0.372 0.744
Au2 0.628 0.628 0.256
Al1 0.250 0.750 0.500
Al2 0.750 0.250 0.500
```

---

(12)
DFT (GGA-PBEsol) results for an optimized crystal structure of KAlAu2.

Summary:
calculated total energy: -3.0826 eV/atom
SG: F-43m, No. 216

The structure in CIF format:
```
data_KAlAu2
_chemical_formula_sum 'K1 Al1 Au2'
_space_group_name_H-M_alt 'P 1'
_space_group_IT_number 1
_space_group_name_Hall 'P 1'
_cell_length_a 4.868
_cell_length_b 4.868
_cell_length_c 4.868
_cell_angle_alpha 60.00
_cell_angle_beta 60.00
_cell_angle_gamma 60.00
loop_
_atom_site_label
_atom_site_fract_x
_atom_site_fract_y
_atom_site_fract_z
K1 0.250 0.250 0.250
Au1 0.000 0.000 0.000
Au2 0.750 0.750 0.750
Al1 0.500 0.500 0.500
```

---

(13)
DFT (GGA-PBEsol) results for an optimized crystal structure of KAl2Au.

Summary:
calculated total energy: -3.5152 eV/atom
SG: R3m, No. 160

The structure in CIF format:
```
data_KAl2Au
_chemical_formula_sum 'K1 Al2 Au1'
_space_group_name_H-M_alt 'P 1'
_space_group_IT_number 1
_space_group_name_Hall 'P 1'
_cell_length_a 4.415
_cell_length_b 4.415
_cell_length_c 6.800
_cell_angle_alpha 71.05
_cell_angle_beta 71.05
_cell_angle_gamma 60.00
loop_
_atom_site_label
_atom_site_fract_x
_atom_site_fract_y
_atom_site_fract_z
K1 0.758 0.758 0.726
Au1 0.579 0.579 0.262
Al1 0.946 0.946 0.160
Al2 0.231 0.231 0.308
```

---

(14)
DFT (GGA-PBEsol) results for an optimized crystal structure of KAlAu2.

Summary:
calculated total energy: -3.5750 eV/atom
SG: R-3m, No. 166

The structure in CIF format:
```
data_KAlAu2
_chemical_formula_sum 'K1 Al1 Au2'
_space_group_name_H-M_alt 'P 1'
_space_group_IT_number 1
_space_group_name_Hall 'P 1'
_cell_length_a 4.501
_cell_length_b 4.501
_cell_length_c 6.435
_cell_angle_alpha 69.53
_cell_angle_beta 69.53
_cell_angle_gamma 60.00
loop_
_atom_site_label
_atom_site_fract_x
_atom_site_fract_y
_atom_site_fract_z
K1 0.500 0.500 0.500
Au1 0.310 0.310 0.070
Au2 0.690 0.690 0.930
Al1 0.000 0.000 0.000
```

---

(15)
DFT (GGA-PBEsol) results for an optimized crystal structure of KAlAu.

Summary:
calculated total energy: -3.1910 eV/atom
SG: P-6m2, No. 187

The structure in CIF format:
```
data_KAlAu
_chemical_formula_sum 'K1 Al1 Au1'
_space_group_name_H-M_alt 'P 1'
_space_group_IT_number 1
_space_group_name_Hall 'P 1'
_cell_length_a 4.287
_cell_length_b 4.287
_cell_length_c 5.408
_cell_angle_alpha 90.00
_cell_angle_beta 90.00
_cell_angle_gamma 120.00
loop_
_atom_site_label
_atom_site_fract_x
_atom_site_fract_y
_atom_site_fract_z
K1 0.667 0.333 0.500
Au1 0.333 0.667 0.000
Al1 0.000 0.000 0.000
```